The following is a PBE-GGA calculation of Pa2PtRh2 after structural relaxation, from the Alexandria database.

## Properties
formation energy: -0.69 eV/atom

Cell and atoms, written as extended XYZ:
```
5
Lattice="-1.0342 3.5580 -1.0968 -3.2544 -1.4093 -1.5344 -4.9952 1.7981 4.9300" Properties=species:S:1:pos:R:3 pbc="T T T"
Pa -6.5938 2.7475 2.2647
Pa -2.6899 1.1992 0.0341
Pt 0.0000 0.0000 0.0000
Rh -4.0833 3.2231 1.2595
Rh -5.2004 0.7237 1.0393
```

The following is a PBE-GGA calculation of PaPt2Rh3 after structural relaxation, from the Alexandria database.

## Properties
formation energy: -0.63 eV/atom

Cell and atoms, written as extended XYZ:
```
12
Lattice="4.0753 0.0000 0.0000 0.0000 5.6324 0.6947 0.0000 -0.7068 8.5497" Properties=species:S:1:pos:R:3 pbc="T T T"
Pa 1.0188 4.4066 6.9935
Pa 3.0565 0.5190 2.2509
Pt 1.0188 1.8273 3.8244
Pt 3.0565 3.0983 5.4200
Pt 3.0565 0.1609 7.9408
Pt 1.0188 4.7647 1.3036
Rh 3.0565 0.3325 5.0757
Rh 1.0188 4.5931 4.1687
Rh 3.0565 3.3495 2.5675
Rh 1.0188 1.5761 6.6769
Rh 1.0188 2.0226 0.9949
Rh 3.0565 2.9030 8.2495
```

The following is a PBE-GGA calculation of Pa2PtRh after structural relaxation, from the Alexandria database.

## Properties
formation energy: -0.13 eV/atom

Cell and atoms, written as extended XYZ:
```
4
Lattice="-1.8742 0.5990 2.3891 -3.0636 0.1103 -0.4262 -2.2774 -9.6464 2.6366" Properties=species:S:1:pos:R:3 pbc="T T T"
Pa -2.1077 -6.9904 2.1039
Pa -5.1075 -1.9467 2.4957
Rh -3.6076 -4.4686 2.2998
Pt 0.0000 0.0000 0.0000
```

The following is a PBE-GGA calculation of Pa4PtRh3 after structural relaxation, from the Alexandria database.

## Properties
formation energy: -0.77 eV/atom

Cell and atoms, written as extended XYZ:
```
8
Lattice="-2.2377 -1.8580 -2.4004 -0.9345 -2.7678 3.0135 -8.4962 6.2361 3.0930" Properties=species:S:1:pos:R:3 pbc="T T T"
Pa -4.6891 -0.0353 1.4362
Pa -7.7634 3.9714 4.1629
Pa -1.2135 0.8907 0.4418
Pa -6.5539 3.0603 0.7784
Rh -5.5543 2.3500 3.3587
Rh -3.4117 2.5042 1.2420
Rh -8.7649 4.6832 1.5833
Pt -2.3783 -1.7314 0.5949
```

The following is a PBE-GGA calculation of Pa4PtRh after structural relaxation, from the Alexandria database.

## Properties
formation energy: -0.52 eV/atom

Cell and atoms, written as extended XYZ:
```
12
Lattice="5.6558 0.0000 0.0000 0.0000 6.9072 0.0000 0.0000 0.0000 6.9072" Properties=species:S:1:pos:R:3 pbc="T T T"
Pa 0.0000 1.0239 4.4236
Pa 0.0000 5.8833 2.4836
Pa 0.0000 2.4836 1.0239
Pa 0.0000 4.4236 5.8833
Pa 2.8279 5.8833 4.4236
Pa 2.8279 1.0239 2.4836
Pa 2.8279 4.4236 1.0239
Pa 2.8279 2.4836 5.8833
Pt 1.4139 0.0000 0.0000
Pt 4.2418 0.0000 0.0000
Rh 1.4139 3.4536 3.4536
Rh 4.2418 3.4536 3.4536
```

The following is a PBE-GGA calculation of Pa2PtRh5 after structural relaxation, from the Alexandria database.

## Properties
formation energy: -0.96 eV/atom

Cell and atoms, written as extended XYZ:
```
16
Lattice="4.1039 0.0000 0.0000 0.0000 5.7398 0.0000 0.0000 0.0000 11.4785" Properties=species:S:1:pos:R:3 pbc="T T T"
Pa 2.0520 1.5053 4.2647
Pa 2.0520 4.2344 7.2137
Pa 2.0520 1.3645 10.0039
Pa 2.0520 4.3752 1.4745
Pt 0.0000 0.0000 5.7392
Pt 0.0000 2.8699 0.0000
Rh 2.0520 1.4704 1.4276
Rh 2.0520 4.2693 10.0508
Rh 2.0520 4.3403 4.3116
Rh 2.0520 1.3995 7.1669
Rh 0.0000 5.6907 8.6019
Rh 0.0000 0.0491 2.8765
Rh 0.0000 2.8208 8.6158
Rh 0.0000 2.9189 2.8627
Rh 0.0000 2.8699 5.7392
Rh 0.0000 0.0000 0.0000
```

The following is a PBE-GGA calculation of PaPt2Rh after structural relaxation, from the Alexandria database.

## Properties
formation energy: -0.65 eV/atom

Cell and atoms, written as extended XYZ:
```
4
Lattice="-1.7669 3.2408 -2.9160 1.6263 0.3410 -4.4007 -2.7055 -1.3146 -3.6158" Properties=species:S:1:pos:R:3 pbc="T T T"
Pa -1.4231 1.1336 -5.4662
Rh 0.0000 0.0000 0.0000
Pt -2.1334 1.7015 -8.1988
Pt -0.7127 0.5657 -2.7336
```

The following is a PBE-GGA calculation of PaPt2Rh2 after structural relaxation, from the Alexandria database.

## Properties
formation energy: -0.20 eV/atom

Cell and atoms, written as extended XYZ:
```
10
Lattice="4.5571 0.0000 0.0000 -2.2785 3.9465 0.0000 0.0000 0.0000 10.6085" Properties=species:S:1:pos:R:3 pbc="T T T"
Pa 0.0000 0.0000 2.6521
Pa 0.0000 0.0000 7.9564
Pt 2.2785 1.3155 7.9564
Pt 0.0000 0.0000 0.0000
Pt 0.0000 0.0000 5.3043
Pt 0.0000 2.6310 2.6521
Rh 0.0000 2.6310 6.4959
Rh 2.2785 1.3155 1.1916
Rh 2.2785 1.3155 4.1127
Rh 0.0000 2.6310 9.4169
```

The following is a PBE-GGA calculation of Pa2Pt2Rh3 after structural relaxation, from the Alexandria database.

## Properties
formation energy: -0.77 eV/atom

Cell and atoms, written as extended XYZ:
```
7
Lattice="3.9019 0.0000 -1.1626 -0.8937 8.0082 -2.9994 -0.6209 -1.4122 5.0452" Properties=species:S:1:pos:R:3 pbc="T T T"
Pa 1.4220 6.0279 -2.3567
Pa 0.9654 0.5681 3.2399
Pt 2.1093 4.2440 -0.0500
Pt 0.2781 2.3520 0.9332
Rh -0.4469 4.0041 -1.4997
Rh 0.0701 6.1058 0.2353
Rh 2.3172 0.4902 0.6479
```

The following is a PBE-GGA calculation of PaPt4Rh after structural relaxation, from the Alexandria database.

## Properties
formation energy: -0.64 eV/atom

Cell and atoms, written as extended XYZ:
```
6
Lattice="5.3060 0.0000 0.0000 2.6530 4.5951 0.0000 2.6530 1.5317 4.3323" Properties=species:S:1:pos:R:3 pbc="T T T"
Pa 0.0000 0.0000 0.0000
Rh 2.6530 1.5317 1.0831
Pt 5.3060 3.0634 0.5500
Pt 5.3060 1.5396 2.7049
Pt 6.6256 3.8253 2.7049
Pt 3.9864 3.8253 2.7049
```

The following is a PBE-GGA calculation of PaPt2Rh after structural relaxation, from the Alexandria database.

## Properties
formation energy: -0.98 eV/atom

Cell and atoms, written as extended XYZ:
```
4
Lattice="-0.3130 -3.9332 0.7937 3.9927 -0.3827 -0.3218 -1.4153 2.9879 4.0443" Properties=species:S:1:pos:R:3 pbc="T T T"
Pa 0.0000 0.0000 0.0000
Pt 2.2087 0.2237 1.9795
Pt 0.0557 -1.5517 2.5367
Rh 1.8399 -2.1580 0.2359
```

The following is a PBE-GGA calculation of PaPt4Rh3 after structural relaxation, from the Alexandria database.

## Properties
formation energy: -0.38 eV/atom

Cell and atoms, written as extended XYZ:
```
8
Lattice="-0.0347 -3.4598 2.6097 4.9439 -0.6136 -0.7478 -1.6125 5.7379 3.9870" Properties=species:S:1:pos:R:3 pbc="T T T"
Pa 0.0000 0.0000 0.0000
Pt 2.9362 0.6084 0.8456
Pt 0.3604 1.0561 5.0033
Pt 2.3924 -0.1751 3.3982
Pt 0.9043 1.8395 2.4507
Rh 3.6002 2.2178 2.9881
Rh -0.3036 -0.5533 2.8608
Rh 2.4546 -2.0367 0.9310
```

The following is a PBE-GGA calculation of Pa2Pt2Rh after structural relaxation, from the Alexandria database.

## Properties
formation energy: -0.80 eV/atom

Cell and atoms, written as extended XYZ:
```
5
Lattice="-3.8666 -2.2127 1.5067 4.1140 -0.7190 2.1622 -1.0840 4.2640 3.4804" Properties=species:S:1:pos:R:3 pbc="T T T"
Pa 0.9118 0.9151 3.6839
Pa -1.2064 -1.7148 1.7252
Pt -0.2727 1.0729 0.8757
Pt -0.8113 3.1911 2.6047
Rh 1.4538 -1.2169 1.9437
```

The following is a PBE-GGA calculation of PaPt2Rh3 after structural relaxation, from the Alexandria database.

## Properties
formation energy: -0.48 eV/atom

Cell and atoms, written as extended XYZ:
```
12
Lattice="-3.4911 -1.0549 4.2550 1.1309 -7.1953 -0.8560 4.6462 -5.0659 2.5561" Properties=species:S:1:pos:R:3 pbc="T T T"
Pa 1.0153 -6.4704 4.7646
Pa 1.2707 -6.8457 1.1906
Pt 0.9064 -1.9238 0.2668
Pt 3.1251 -10.8649 3.5609
Pt 4.8707 -10.3374 1.4334
Pt -0.8391 -2.4512 2.3943
Rh -0.7170 -7.5198 3.0831
Rh 3.0030 -5.7963 2.8721
Rh -0.8108 -4.8934 3.6573
Rh 3.0967 -8.4227 2.2978
Rh 1.1563 -9.0682 4.2362
Rh 1.1297 -4.2479 1.7190
```

The following is a PBE-GGA calculation of PaPt8Rh2 after structural relaxation, from the Alexandria database.

## Properties
formation energy: -0.39 eV/atom

Cell and atoms, written as extended XYZ:
```
11
Lattice="3.8826 0.0000 -1.1161 -0.6088 5.9802 -2.1179 0.0570 0.6122 7.5096" Properties=species:S:1:pos:R:3 pbc="T T T"
Pa 1.9413 0.0000 -0.5580
Pt 2.0452 2.8153 -0.1967
Pt 1.2079 0.8919 4.2021
Pt 0.4346 1.3010 1.5119
Pt -0.2444 4.3912 -0.8501
Pt 2.8961 5.2914 2.7636
Pt 2.1228 5.7005 0.0735
Pt 1.2856 3.7771 4.4722
Pt 3.5752 2.2012 5.1257
Rh 0.5175 4.0413 1.8002
Rh 2.8133 2.5510 2.4753
```

The following is a PBE-GGA calculation of Pa3Pt2Rh after structural relaxation, from the Alexandria database.

## Properties
formation energy: -0.78 eV/atom

Cell and atoms, written as extended XYZ:
```
12
Lattice="5.7455 0.0000 -2.2501 -0.5807 6.7389 -1.4828 -0.5607 -0.3785 7.0286" Properties=species:S:1:pos:R:3 pbc="T T T"
Pa 1.6636 5.0542 -1.9342
Pa 3.5012 1.6847 -1.7987
Pa 3.2831 5.8001 1.7702
Pa -0.2240 3.9297 1.2755
Pa 4.8280 2.4307 2.0203
Pa 1.3209 0.5603 1.5255
Pt 1.9127 2.9323 3.0164
Pt 0.3542 6.3017 2.7717
Pt 4.2499 0.0587 0.5240
Pt 2.6914 3.4281 0.2793
Rh 0.6576 1.6847 -0.6851
Rh 4.5071 5.0542 -3.0478
```

The following is a PBE-GGA calculation of Pa4PtRh12 after structural relaxation, from the Alexandria database.

## Properties
formation energy: -0.66 eV/atom

Cell and atoms, written as extended XYZ:
```
17
Lattice="6.8336 0.0000 -2.4160 -3.4168 5.9181 -2.4160 0.0000 0.0000 7.2481" Properties=species:S:1:pos:R:3 pbc="T T T"
Pa 0.0000 0.0000 3.6241
Pa 3.4168 0.0000 -1.2080
Pa 1.7084 2.9590 1.2080
Pa -1.7084 2.9590 -1.2080
Pt 0.0000 0.0000 0.0000
Rh -1.0255 1.7763 1.4503
Rh -2.3913 4.1418 3.3818
Rh 2.3913 4.1418 -3.3818
Rh 1.0255 1.7763 -1.4503
Rh 2.0511 0.0000 1.4503
Rh 4.7825 0.0000 3.3818
Rh 2.5626 1.4795 3.6241
Rh 0.8542 4.4386 -1.2080
Rh 4.2710 1.4795 1.2080
Rh -0.8542 4.4386 1.2080
Rh 3.4168 2.9590 -1.2080
Rh 0.0000 2.9590 3.6241
```

The following is a PBE-GGA calculation of PaPt5Rh2 after structural relaxation, from the Alexandria database.

## Properties
formation energy: -0.52 eV/atom

Cell and atoms, written as extended XYZ:
```
16
Lattice="-1.6121 3.6377 0.1052 -0.3158 -0.3058 5.7334 10.5541 4.6532 0.8294" Properties=species:S:1:pos:R:3 pbc="T T T"
Pa 5.2771 2.3266 0.4147
Pa -0.1579 -0.1529 2.8667
Pt 0.0000 0.0000 0.0000
Pt 5.1192 2.1737 3.2814
Pt 7.8174 3.3655 3.4175
Pt 2.4210 0.9819 3.1453
Pt 2.6899 1.1837 0.2873
Pt 7.5485 3.1637 6.2755
Pt 8.3381 5.8116 2.1115
Pt 0.2882 2.1735 4.5566
Pt 3.0501 3.4745 1.8945
Pt 5.5762 4.5106 4.7736
Rh 5.6933 4.6440 1.9575
Rh 2.9330 3.3411 4.7106
Rh 0.4112 2.3126 1.6333
Rh 8.2151 5.6725 5.0348
```

The following is a PBE-GGA calculation of Pa6PtRh5 after structural relaxation, from the Alexandria database.

## Properties
formation energy: -0.62 eV/atom

Cell and atoms, written as extended XYZ:
```
12
Lattice="8.1674 -1.3167 -1.4348 -1.5674 5.6140 -5.0065 -0.5475 -1.6669 7.4806" Properties=species:S:1:pos:R:3 pbc="T T T"
Pa 4.2133 3.1676 -1.4029
Pa 1.4867 1.9790 -1.8732
Pa 0.2239 2.5267 1.4550
Pa 5.8286 0.1036 -0.4156
Pa 4.5657 0.6514 2.9126
Pa 1.8392 -0.5373 2.4422
Rh 2.6567 3.9533 -4.0048
Rh 6.9164 2.0385 -2.5673
Rh 3.0262 1.3152 0.5197
Rh -0.8639 0.5919 3.6067
Rh 3.3958 -1.3229 5.0442
Pt 0.0000 0.0000 0.0000
```

The following is a PBE-GGA calculation of Pa2PtRh after structural relaxation, from the Alexandria database.

## Properties
formation energy: -0.65 eV/atom

Cell and atoms, written as extended XYZ:
```
4
Lattice="4.9124 0.0000 0.0000 2.4562 4.2543 0.0000 2.4562 1.4181 4.0110" Properties=species:S:1:pos:R:3 pbc="T T T"
Pa 2.4562 1.4181 1.0027
Pa 7.3686 4.2543 3.0082
Rh 0.0000 0.0000 0.0000
Pt 4.9124 2.8362 2.0055
```